# 1
## CdRu2Au (PBEsol)

Data for a relaxed CdRu2Au crystal.

Cell and atoms, written as POSCAR:
```
CdRu2Au
1.0
2.801 0.000 0.000
0.000 3.688 0.000
0.000 0.000 6.075
Cd Ru Au
1 2 1
direct
0.000 0.000 0.000
0.000 0.000 0.463
0.500 0.500 0.284
0.500 0.500 0.736
```

Calculated values
Its crystal system is orthorhombic. The value obtained for the formation energy is 0.21 eV per atom.



# 2
## CdRu2Au (PBEsol)

Data for a relaxed CdRu2Au crystal.

Cell and atoms, written as POSCAR:
```
CdRu2Au
1.0
-1.420 2.357 4.707
1.420 -2.357 4.707
1.420 2.357 -4.707
Cd Ru Au
1 2 1
direct
0.000 0.000 0.000
0.261 0.761 0.500
0.478 0.478 0.000
0.735 0.235 0.500
```

Calculated values
Its crystal system is orthorhombic. The value obtained for the formation energy is 0.43 eV per atom.



# 3
## CdRuAu3 (PBEsol)

Data for a relaxed CdRuAu3 crystal.

Cell and atoms, written as POSCAR:
```
CdRuAu3
1.0
4.928 0.000 0.000
0.000 4.928 0.000
0.000 0.000 4.928
Cd Ru Au
1 1 3
direct
0.000 0.000 0.000
0.500 0.500 0.500
0.000 0.000 0.500
0.000 0.500 0.000
0.500 0.000 0.000
```

Calculated values
Its crystal system is cubic. The value obtained for the formation energy is 1.62 eV per atom.



# 4
## CdSbAu2 (PBEsol)

Data for a relaxed CdSbAu2 crystal.

Cell and atoms, written as POSCAR:
```
CdSbAu2
1.0
-2.168 2.168 4.188
2.168 -2.168 4.188
2.168 2.168 -4.188
Cd Sb Au
1 1 2
direct
0.000 0.000 0.000
0.500 0.500 0.000
0.250 0.750 0.500
0.750 0.250 0.500
```

Calculated values
Its crystal system is tetragonal. For the raw total energy, the calculation gives -3.380 eV/atom.



# 5
## CdSb2Au (PBEsol)

Data for a relaxed CdSb2Au crystal.

Cell and atoms, written as POSCAR:
```
CdSb2Au
1.0
-1.993 2.650 4.418
1.993 -2.650 4.418
1.993 2.650 -4.418
Cd Sb Au
1 2 1
direct
0.000 0.000 0.000
0.276 0.776 0.500
0.724 0.224 0.500
0.500 0.500 0.000
```

Calculated values
Its crystal system is orthorhombic. For the raw total energy, the calculation gives -3.447 eV/atom.



# 6
## CdSb2Au (PBEsol)

Data for a relaxed CdSb2Au crystal.

Cell and atoms, written as POSCAR:
```
CdSb2Au
1.0
0.000 3.585 3.585
3.585 0.000 3.585
3.585 3.585 0.000
Cd Sb Au
1 2 1
direct
0.000 0.000 0.000
0.500 0.500 0.500
0.750 0.750 0.750
0.250 0.250 0.250
```

Calculated values
Its crystal system is cubic. For the raw total energy, the calculation gives -3.377 eV/atom.